A geometry-optimized BaAgSbH structure. Source: Alexandria via LeMat-Bulk, functional GGA-PBE.

Crystal system: trigonal
SG: P3m1, No. 156
DFT total energy, eV per atom: -3.510

Cell: 4.783 4.784 4.997 Å, 90.00 90.00 120.00°
Sites, in units of the cell vectors:
Ba 0.572 0.144 0.325
Ag 0.239 0.477 0.878
Sb 0.905 0.810 0.796
H 0.239 0.477 0.240

=====

A geometry-optimized ReW2Au structure. Source: Alexandria via LeMat-Bulk, functional GGA-PBE.

Crystal system: orthorhombic
SG: Cmm2, No. 35
ΔH_f (0 K), meV per atom: 297

Cell: 2.740 2.740 9.170 Å, 90.00 90.00 108.37°
Sites, in units of the cell vectors:
Au 0.000 0.000 0.499
Re 0.500 0.500 0.763
W 0.000 0.000 0.998
W 0.500 0.500 0.240

=====

Number 1: size of the total moment 0.0 μB/f.u.. Number 2: size of the total moment 0.0 μB/f.u..